No. 1
Na2Y2H after structural relaxation, computed with PBE-GGA.

Symmetry: No. 127
E_tot: -3.656 eV per atom

a b c (Å): 6.4876 6.4876 6.5507
angles (deg): 90.00 90.00 90.00
Sites, in units of the cell vectors:
1 Na 0.1711 0.3289 0.0000
2 Na 0.3289 0.8289 0.0000
3 Na 0.6711 0.1711 0.0000
4 Na 0.8289 0.6711 0.0000
5 Y 0.1777 0.6777 0.5000
6 Y 0.3223 0.1777 0.5000
7 Y 0.6777 0.8223 0.5000
8 Y 0.8223 0.3223 0.5000
9 H 0.0000 0.0000 0.5000
10 H 0.5000 0.5000 0.5000

=====

No. 2
NaYH3 after structural relaxation, computed with PBE-GGA.

Symmetry: No. 221
E_tot: -3.585 eV per atom
Energy above the most stable polymorph in this dataset: 256 meV per atom

a b c (Å): 3.9443 3.9443 3.9443
angles (deg): 90.00 90.00 90.00
Sites, in units of the cell vectors:
1 Na 0.0000 0.0000 0.0000
2 Y 0.5000 0.5000 0.5000
3 H 0.0000 0.0000 0.5000
4 H 0.0000 0.5000 0.0000
5 H 0.5000 0.0000 0.0000

=====

Number 1: density 2.7 g/cm3. Number 2: density 3.1 g/cm3.